Record 1
Entry from Alexandria via LeMat-Bulk: a PBEsol-optimized structure of Cd2In (meta-GGA SCAN).

The calculation puts the total energy at -31.36 eV per atom. For the formation energy, the calculation gives 0.048 eV/atom.

The space group is I4/mmm (No. 139) and the conventional cell measures 3.185, 3.185 and 13.217 Å, with angles of 90.00, 90.00 and 90.00 degrees. The asymmetric unit holds Cd at (0.000, 0.000, 0.172) and In at (0.000, 0.000, 0.500).


Record 2
Entry from Alexandria via LeMat-Bulk: a PBEsol-optimized structure of CsCu3As (meta-GGA SCAN).

The calculation puts the total energy at -18.61 eV per atom. For the formation energy, the calculation gives 2.110 eV/atom.

The space group is Pm-3m (No. 221) and the conventional cell measures 5.021, 5.021 and 5.021 Å, with angles of 90.00, 90.00 and 90.00 degrees. The asymmetric unit holds Cs at (0.000, 0.000, 0.000), Cu at (0.000, 0.000, 0.500) and As at (0.500, 0.500, 0.500).


Record 3
Entry from Alexandria via LeMat-Bulk: a PBEsol-optimized structure of MnOsBr2 (meta-GGA SCAN).

The calculation puts the total energy at -31.41 eV per atom. For the offset from the most stable computed form, the calculation gives 680 meV/atom. The uncorrected formation energy comes out at 0.8518 eV per atom.

The space group is C2/m (No. 12) and the conventional cell measures 6.051, 8.483 and 3.271 Å, with angles of 90.00, 119.42 and 90.00 degrees. The asymmetric unit holds Mn at (0.000, 0.000, 0.000), Os at (0.000, 0.500, 0.000) and Br at (0.250, 0.250, 0.000).


Record 4
Entry from Alexandria via LeMat-Bulk: a PBEsol-optimized structure of ScCd2 (meta-GGA SCAN).

The calculation puts the total energy at -25.32 eV per atom. For the formation energy, the calculation gives -0.299 eV/atom.

The space group is I4/mmm (No. 139) and the conventional cell measures 3.174, 3.174 and 12.246 Å, with angles of 90.00, 90.00 and 90.00 degrees. The asymmetric unit holds Sc at (0.000, 0.000, 0.000) and Cd at (0.000, 0.000, 0.332).